Density functional theory data (PBE-GGA) for a relaxed structure of FeRe4Cl.

The uncorrected formation energy is 1.21 eV per atom. Its volume is 402.8 Å³/cell.

The space group is F-43m (No. 216) and the conventional cell measures 7.385, 7.385 and 7.385 Å, with angles of 90.00, 90.00 and 90.00 degrees. The asymmetric unit holds Fe at (0.000, 0.000, 0.000), Re at (0.125, 0.125, 0.625) and Cl at (0.250, 0.250, 0.250).